Record 1
A PBEsol-optimized structure of Na2ZrS, computed with meta-GGA SCAN.

Computed properties:
Space group: No. 122
ΔE_f (raw), eV/f.u.: -0.837

a = 6.843 Å, b = 6.843 Å, c = 6.843 Å
α = 97.63°, β = 97.63°, γ = 137.27°
Positions (direct):
Na  0.038  0.625  0.913
Na  0.375  0.288  0.413
Na  0.712  0.125  0.087
Na  0.875  0.962  0.587
Zr  0.250  0.750  0.500
Zr  0.500  0.500  0.000
S  0.000  0.000  0.000
S  0.750  0.250  0.500

=====

Record 2
A PBEsol-optimized structure of Na2ZrS3, computed with meta-GGA SCAN.

Computed properties:
Space group: No. 12
ΔE_f (raw), eV/f.u.: -10.248

a = 6.603 Å, b = 6.603 Å, c = 6.901 Å
α = 99.29°, β = 99.29°, γ = 120.07°
Positions (direct):
Na  0.000  0.000  0.000
Na  0.158  0.842  0.500
Na  0.500  0.500  0.500
Na  0.842  0.158  0.500
Zr  0.332  0.668  0.000
Zr  0.668  0.332  0.000
S  0.075  0.436  0.223
S  0.286  0.286  0.778
S  0.436  0.075  0.223
S  0.564  0.925  0.777
S  0.714  0.714  0.222
S  0.925  0.564  0.777

=====

Record 3
A PBEsol-optimized structure of Na19Zr11S30, computed with meta-GGA SCAN.

Computed properties:
Space group: No. 12
ΔE_f (raw), eV/f.u.: -102.372

a = 11.532 Å, b = 11.532 Å, c = 10.918 Å
α = 100.59°, β = 100.59°, γ = 58.75°
Positions (direct):
Na  0.000  0.000  0.000
Na  0.057  0.739  0.194
Na  0.140  0.462  0.398
Na  0.200  0.200  0.100
Na  0.204  0.204  0.602
Na  0.261  0.943  0.806
Na  0.342  0.658  0.000
Na  0.400  0.400  0.200
Na  0.401  0.401  0.701
Na  0.462  0.140  0.398
Na  0.538  0.860  0.602
Na  0.599  0.599  0.299
Na  0.600  0.600  0.800
Na  0.658  0.342  0.000
Na  0.739  0.057  0.194
Na  0.796  0.796  0.398
Na  0.800  0.800  0.900
Na  0.860  0.538  0.602
Na  0.943  0.261  0.806
Zr  0.000  0.000  0.500
Zr  0.068  0.733  0.699
Zr  0.132  0.471  0.898
Zr  0.267  0.932  0.301
Zr  0.336  0.664  0.500
Zr  0.471  0.132  0.898
Zr  0.529  0.868  0.102
Zr  0.664  0.336  0.500
Zr  0.733  0.068  0.699
Zr  0.868  0.529  0.102
Zr  0.932  0.267  0.301
S  0.007  0.007  0.264
S  0.074  0.721  0.931
S  0.075  0.742  0.463
S  0.116  0.475  0.131
S  0.125  0.486  0.664
S  0.187  0.187  0.348
S  0.214  0.214  0.853
S  0.258  0.925  0.537
S  0.279  0.926  0.069
S  0.316  0.678  0.732
S  0.322  0.684  0.268
S  0.388  0.388  0.947
S  0.410  0.410  0.454
S  0.475  0.116  0.131
S  0.486  0.125  0.664
S  0.514  0.875  0.336
S  0.525  0.884  0.869
S  0.590  0.590  0.546
S  0.612  0.612  0.053
S  0.678  0.316  0.732
S  0.684  0.322  0.268
S  0.721  0.074  0.931
S  0.742  0.075  0.463
S  0.786  0.786  0.147
S  0.813  0.813  0.652
S  0.875  0.514  0.336
S  0.884  0.525  0.869
S  0.925  0.258  0.537
S  0.926  0.279  0.069
S  0.993  0.993  0.736

=====

Record 4
A PBEsol-optimized structure of NaSb, computed with meta-GGA SCAN.

Computed properties:
Space group: No. 14
ΔE_f (raw), eV/f.u.: -0.786

a = 6.718 Å, b = 6.332 Å, c = 12.374 Å
α = 90.00°, β = 117.45°, γ = 90.00°
Positions (direct):
Na  0.229  0.098  0.326
Na  0.229  0.402  0.826
Na  0.232  0.662  0.541
Na  0.232  0.838  0.041
Na  0.768  0.162  0.959
Na  0.768  0.338  0.459
Na  0.771  0.598  0.174
Na  0.771  0.902  0.674
Sb  0.287  0.160  0.603
Sb  0.287  0.340  0.103
Sb  0.308  0.597  0.298
Sb  0.308  0.903  0.798
Sb  0.692  0.097  0.202
Sb  0.692  0.403  0.702
Sb  0.713  0.660  0.897
Sb  0.713  0.840  0.397

=====

Record 5
A PBEsol-optimized structure of NaSc2Sb, computed with meta-GGA SCAN.

Computed properties:
Space group: No. 166
ΔE_f (raw), eV/f.u.: 0.961

a = 11.791 Å, b = 11.791 Å, c = 11.791 Å
α = 15.91°, β = 15.91°, γ = 15.91°
Positions (direct):
Na  0.000  0.000  0.000
Sc  0.419  0.419  0.419
Sc  0.581  0.581  0.581
Sb  0.500  0.500  0.500

=====

Record 6
A PBEsol-optimized structure of NaSc3Sb, computed with meta-GGA SCAN.

Computed properties:
Space group: No. 221
ΔE_f (raw), eV/f.u.: 0.952

a = 5.420 Å, b = 5.420 Å, c = 5.420 Å
α = 90.00°, β = 90.00°, γ = 90.00°
Positions (direct):
Na  0.000  0.000  0.000
Sc  0.000  0.500  0.500
Sc  0.500  0.000  0.500
Sc  0.500  0.500  0.000
Sb  0.500  0.500  0.500

=====

Record 7
A PBEsol-optimized structure of Na2SiSb, computed with meta-GGA SCAN.

Computed properties:
Space group: No. 122
ΔE_f (raw), eV/f.u.: 0.917

a = 6.681 Å, b = 6.681 Å, c = 6.681 Å
α = 99.35°, β = 99.35°, γ = 132.45°
Positions (direct):
Na  0.095  0.125  0.470
Na  0.375  0.905  0.030
Na  0.655  0.625  0.530
Na  0.875  0.345  0.970
Si  0.000  0.000  0.000
Si  0.750  0.250  0.500
Sb  0.250  0.750  0.500
Sb  0.500  0.500  0.000

=====

Record 8
A PBEsol-optimized structure of NaSi3Sb, computed with meta-GGA SCAN.

Computed properties:
Space group: No. 221
ΔE_f (raw), eV/f.u.: 6.064

a = 5.190 Å, b = 5.190 Å, c = 5.190 Å
α = 90.00°, β = 90.00°, γ = 90.00°
Positions (direct):
Na  0.000  0.000  0.000
Si  0.000  0.500  0.500
Si  0.500  0.000  0.500
Si  0.500  0.500  0.000
Sb  0.500  0.500  0.500

=====

Record 9
A PBEsol-optimized structure of NaSn2Sb2, computed with meta-GGA SCAN.

Computed properties:
Space group: No. 139
ΔE_f (raw), eV/f.u.: -0.292

a = 6.207 Å, b = 6.207 Å, c = 6.207 Å
α = 125.93°, β = 125.93°, γ = 80.01°
Positions (direct):
Na  0.000  0.000  0.000
Sn  0.349  0.349  0.000
Sn  0.651  0.651  0.000
Sb  0.250  0.750  0.500
Sb  0.750  0.250  0.500

=====

Record 10
A PBEsol-optimized structure of Na8SnSb4, computed with meta-GGA SCAN.

Computed properties:
Space group: No. 227
ΔE_f (raw), eV/f.u.: -6.038

a = 10.424 Å, b = 10.424 Å, c = 10.424 Å
α = 60.00°, β = 60.00°, γ = 60.00°
Positions (direct):
Na  0.000  0.000  0.000
Na  0.000  0.000  0.500
Na  0.000  0.500  0.000
Na  0.146  0.146  0.604
Na  0.146  0.604  0.146
Na  0.146  0.604  0.604
Na  0.396  0.396  0.854
Na  0.396  0.854  0.396
Na  0.396  0.854  0.854
Na  0.500  0.000  0.000
Na  0.604  0.146  0.146
Na  0.604  0.146  0.604
Na  0.604  0.604  0.146
Na  0.854  0.396  0.396
Na  0.854  0.396  0.854
Na  0.854  0.854  0.396
Sn  0.125  0.125  0.125
Sn  0.875  0.875  0.875
Sb  0.209  0.764  0.764
Sb  0.236  0.236  0.236
Sb  0.236  0.236  0.791
Sb  0.236  0.791  0.236
Sb  0.764  0.209  0.764
Sb  0.764  0.764  0.209
Sb  0.764  0.764  0.764
Sb  0.791  0.236  0.236

=====

Record 11
A PBEsol-optimized structure of NaTiSn2Sb, computed with meta-GGA SCAN.

Computed properties:
Space group: No. 123
ΔE_f (raw), eV/f.u.: 4.458

a = 5.173 Å, b = 5.173 Å, c = 5.219 Å
α = 90.00°, β = 90.00°, γ = 90.00°
Positions (direct):
Na  0.000  0.000  0.000
Ti  0.500  0.500  0.500
Sn  0.000  0.500  0.000
Sn  0.500  0.000  0.000
Sb  0.000  0.000  0.500

=====

Record 12
A PBEsol-optimized structure of NaTaSbTe2, computed with meta-GGA SCAN.

Computed properties:
Space group: No. 123
ΔE_f (raw), eV/f.u.: -0.026

a = 5.428 Å, b = 5.428 Å, c = 5.370 Å
α = 90.00°, β = 90.00°, γ = 90.00°
Positions (direct):
Na  0.000  0.000  0.000
Ta  0.500  0.500  0.500
Sb  0.500  0.500  0.000
Te  0.000  0.500  0.500
Te  0.500  0.000  0.500

=====

Record 13
A PBEsol-optimized structure of NaTcSbTe2, computed with meta-GGA SCAN.

Computed properties:
Space group: No. 123
ΔE_f (raw), eV/f.u.: 6.445

a = 5.340 Å, b = 5.340 Å, c = 5.168 Å
α = 90.00°, β = 90.00°, γ = 90.00°
Positions (direct):
Na  0.000  0.000  0.000
Tc  0.500  0.500  0.500
Sb  0.000  0.000  0.500
Te  0.000  0.500  0.000
Te  0.500  0.000  0.000

=====

Record 14
A PBEsol-optimized structure of NaSb2Te2, computed with meta-GGA SCAN.

Computed properties:
Space group: No. 127
ΔE_f (raw), eV/f.u.: -0.559

a = 8.625 Å, b = 8.625 Å, c = 4.027 Å
α = 90.00°, β = 90.00°, γ = 90.00°
Positions (direct):
Na  0.000  0.000  0.000
Na  0.500  0.500  0.000
Sb  0.139  0.361  0.500
Sb  0.361  0.861  0.500
Sb  0.639  0.139  0.500
Sb  0.861  0.639  0.500
Te  0.186  0.686  0.000
Te  0.314  0.186  0.000
Te  0.686  0.814  0.000
Te  0.814  0.314  0.000

=====

Record 15
A PBEsol-optimized structure of Na3SbTe3, computed with meta-GGA SCAN.

Computed properties:
Space group: No. 198
ΔE_f (raw), eV/f.u.: -5.049

a = 9.439 Å, b = 9.439 Å, c = 9.439 Å
α = 90.00°, β = 90.00°, γ = 90.00°
Positions (direct):
Na  0.082  0.418  0.582
Na  0.168  0.168  0.168
Na  0.181  0.819  0.319
Na  0.319  0.181  0.819
Na  0.332  0.832  0.668
Na  0.418  0.582  0.082
Na  0.582  0.082  0.418
Na  0.668  0.332  0.832
Na  0.681  0.681  0.681
Na  0.819  0.319  0.181
Na  0.832  0.668  0.332
Na  0.918  0.918  0.918
Sb  0.046  0.546  0.954
Sb  0.454  0.454  0.454
Sb  0.546  0.954  0.046
Sb  0.954  0.046  0.546
Te  0.006  0.761  0.626
Te  0.126  0.494  0.239
Te  0.239  0.126  0.494
Te  0.261  0.874  0.994
Te  0.374  0.506  0.739
Te  0.494  0.239  0.126
Te  0.506  0.739  0.374
Te  0.626  0.006  0.761
Te  0.739  0.374  0.506
Te  0.761  0.626  0.006
Te  0.874  0.994  0.261
Te  0.994  0.261  0.874

=====

Record 16
A PBEsol-optimized structure of NaTiSb3, computed with meta-GGA SCAN.

Computed properties:
Polymorph energy (0 for the lowest one), meV/atom: 0
Space group: No. 221
ΔE_f (raw), eV/f.u.: -0.593

a = 5.246 Å, b = 5.246 Å, c = 5.246 Å
α = 90.00°, β = 90.00°, γ = 90.00°
Positions (direct):
Na  0.000  0.000  0.000
Ti  0.500  0.500  0.500
Sb  0.000  0.500  0.500
Sb  0.500  0.000  0.500
Sb  0.500  0.500  0.000

=====

Record 17
A PBEsol-optimized structure of Na3TiSb, computed with meta-GGA SCAN.

Computed properties:
Space group: No. 221
ΔE_f (raw), eV/f.u.: 4.842

a = 5.546 Å, b = 5.546 Å, c = 5.546 Å
α = 90.00°, β = 90.00°, γ = 90.00°
Positions (direct):
Na  0.000  0.000  0.500
Na  0.000  0.500  0.000
Na  0.500  0.000  0.000
Ti  0.000  0.000  0.000
Sb  0.500  0.500  0.500

=====

Record 18
A PBEsol-optimized structure of NaSb2W, computed with meta-GGA SCAN.

Computed properties:
Space group: No. 225
ΔE_f (raw), eV/f.u.: 1.809

a = 4.851 Å, b = 4.851 Å, c = 4.851 Å
α = 60.00°, β = 60.00°, γ = 60.00°
Positions (direct):
Na  0.000  0.000  0.000
Sb  0.250  0.250  0.250
Sb  0.750  0.750  0.750
W  0.500  0.500  0.500

=====

Record 19
A PBEsol-optimized structure of NaY3Sb, computed with meta-GGA SCAN.

Computed properties:
Space group: No. 221
ΔE_f (raw), eV/f.u.: 2.957

a = 5.299 Å, b = 5.299 Å, c = 5.299 Å
α = 90.00°, β = 90.00°, γ = 90.00°
Positions (direct):
Na  0.000  0.000  0.000
Y  0.000  0.000  0.500
Y  0.000  0.500  0.000
Y  0.500  0.000  0.000
Sb  0.500  0.500  0.500

=====

Record 20
A PBEsol-optimized structure of NaYSb2, computed with meta-GGA SCAN.

Computed properties:
Space group: No. 225
ΔE_f (raw), eV/f.u.: -2.363

a = 5.287 Å, b = 5.287 Å, c = 5.287 Å
α = 60.00°, β = 60.00°, γ = 60.00°
Positions (direct):
Na  0.000  0.000  0.000
Y  0.500  0.500  0.500
Sb  0.250  0.250  0.250
Sb  0.750  0.750  0.750

=====

no.,density (g cm⁻³),magnetization (μB per atom),DFT total energy (eV for the cell shown)
1,2.78,0.510,-99.19
2,3.15,0.000,-156.52
3,3.29,0.035,-808.98
4,4.12,0.000,-338.10
5,3.63,0.012,-68.99
6,2.92,0.541,-83.24
7,3.23,0.000,-109.58
8,2.72,0.000,-65.46
9,5.53,0.000,-150.87
10,3.27,0.000,-449.44
11,5.11,0.429,-124.89
12,6.10,0.000,-182.59
13,5.61,0.809,-144.59
14,5.78,0.000,-307.59
15,4.53,0.000,-666.83
16,5.02,0.000,-132.62
17,2.32,0.582,-61.09
18,9.27,0.444,-146.61
19,4.59,0.221,-122.05
20,5.65,0.000,-108.94